Entry 1:
# CuAsOsPd

Crystalline CuAsOsPd at its relaxed geometry (GGA-PBE, OQMD via LeMat-Bulk).

Properties
calculated volume: 231 Å³/cell

Cell lengths 6.1338, 6.1338, 6.1338 Å; angles 90.00, 90.00, 90.00 degrees
Space group F-43m (No. 216)
Unique sites:
Cu1 0.0000 0.0000 0.0000 x4
As1 0.2500 0.2500 0.7500 x4
Os1 0.0000 0.0000 0.5000 x4
Pd1 0.2500 0.2500 0.2500 x4



Entry 2:
# CuReAsOs

Crystalline CuReAsOs at its relaxed geometry (GGA-PBE, OQMD via LeMat-Bulk).

Properties
calculated volume: 233 Å³/cell

Cell lengths 6.1529, 6.1529, 6.1529 Å; angles 90.00, 90.00, 90.00 degrees
Space group F-43m (No. 216)
Unique sites:
Cu1 0.0000 0.0000 0.0000 x4
Re1 0.0000 0.0000 0.5000 x4
As1 0.2500 0.2500 0.7500 x4
Os1 0.2500 0.2500 0.2500 x4



Entry 3:
# ScCuAsOs

Crystalline ScCuAsOs at its relaxed geometry (GGA-PBE, OQMD via LeMat-Bulk).

Properties
calculated volume: 248 Å³/cell

Cell lengths 6.2840, 6.2840, 6.2840 Å; angles 90.00, 90.00, 90.00 degrees
Space group F-43m (No. 216)
Unique sites:
Sc1 0.0000 0.0000 0.0000 x4
Cu1 0.2500 0.2500 0.7500 x4
As1 0.0000 0.0000 0.5000 x4
Os1 0.2500 0.2500 0.2500 x4



Computed values of energy (unit: eV per atom) for the preceding records, in sequence: -5.93; -7.51; -6.52.